Record 1
DFT (PBE) results for a relaxed Sr4Ce3VN8 crystal.

Geometry as POSCAR:
```
Sr4Ce3VN8
1.0
-5.115 -4.859 -0.187
2.812 -3.184 5.810
-1.654 6.856 0.271
Sr Ce V N
4 3 1 8
Direct
0.500 0.000 0.000 Sr
0.500 0.000 0.500 Sr
0.000 0.000 0.000 Sr
0.000 0.000 0.500 Sr
0.500 0.500 0.000 Ce
0.500 0.500 0.500 Ce
0.000 0.500 0.500 Ce
0.000 0.500 0.000 V
0.221 0.700 0.978 N
0.222 0.700 0.443 N
0.264 0.292 0.528 N
0.757 0.700 0.978 N
0.243 0.300 0.022 N
0.736 0.708 0.472 N
0.778 0.300 0.557 N
0.779 0.300 0.022 N
```

Values from the calculation:
The final energy is -116.14 eV for the cell shown. Its symmetry is R-3m.



Record 2
DFT (PBE) results for a relaxed SrCe2WN4 crystal.

Geometry as POSCAR:
```
SrCe2WN4
1.0
3.557 0.000 0.000
-1.779 6.145 0.000
0.000 0.000 12.053
Sr Ce W N
2 4 2 8
Direct
0.112 0.223 0.750 Sr
0.888 0.777 0.250 Sr
0.368 0.737 0.538 Ce
0.632 0.263 0.038 Ce
0.632 0.263 0.462 Ce
0.368 0.737 0.962 Ce
0.845 0.691 0.750 W
0.155 0.309 0.250 W
0.259 0.517 0.126 N
0.741 0.483 0.626 N
0.741 0.483 0.874 N
0.259 0.517 0.374 N
0.000 0.000 0.500 N
0.000 0.000 0.000 N
0.420 0.841 0.750 N
0.580 0.159 0.250 N
```

Values from the calculation:
The final energy is -135.22 eV for the cell shown. Its symmetry is Cmcm.



Record 3
DFT (PBE) results for a relaxed SrCeWN4 crystal.

Geometry as POSCAR:
```
SrCeWN4
1.0
-0.779 -3.002 4.666
1.702 -4.582 -2.664
6.522 2.726 -0.521
Sr Ce W N
2 2 2 8
Direct
0.605 0.750 0.210 Sr
0.395 0.250 0.790 Sr
0.099 0.250 0.199 Ce
0.901 0.750 0.801 Ce
0.270 0.750 0.539 W
0.730 0.250 0.461 W
0.940 0.250 0.880 N
0.411 0.750 0.822 N
0.060 0.750 0.120 N
0.589 0.250 0.178 N
0.500 0.500 0.500 N
0.000 0.000 0.500 N
0.500 0.000 0.500 N
0.000 0.500 0.500 N
```

Values from the calculation:
The final energy is -120.91 eV for the cell shown. Its symmetry is Cmcm.



Record 4
DFT (PBE) results for a relaxed Sr3Ce3WN8 crystal.

Geometry as POSCAR:
```
Sr3Ce3WN8
1.0
-1.553 2.311 6.412
0.466 -6.867 -1.222
6.035 3.962 0.034
Sr Ce W N
3 3 1 8
Direct
0.000 0.000 0.000 Sr
0.000 0.500 0.000 Sr
0.500 0.500 0.000 Sr
0.500 0.000 0.500 Ce
0.500 0.500 0.500 Ce
0.000 0.500 0.500 Ce
0.000 0.000 0.500 W
0.263 0.527 0.290 N
0.737 0.473 0.710 N
0.791 0.582 0.314 N
0.209 0.418 0.686 N
0.791 0.023 0.314 N
0.209 0.977 0.686 N
0.231 0.023 0.314 N
0.769 0.977 0.686 N
```

Values from the calculation:
The final energy is -118.13 eV for the cell shown. Its symmetry is R-3m.



Record 5
DFT (PBE) results for a relaxed SrCeZrN3 crystal.

Geometry as POSCAR:
```
SrCeZrN3
1.0
3.375 0.000 0.000
0.000 6.775 0.848
0.000 -1.532 9.607
Sr Ce Zr N
2 2 2 6
Direct
0.750 0.862 0.801 Sr
0.250 0.138 0.199 Sr
0.250 0.203 0.574 Ce
0.750 0.797 0.426 Ce
0.250 0.630 0.109 Zr
0.750 0.370 0.891 Zr
0.250 0.868 0.574 N
0.750 0.818 0.178 N
0.750 0.394 0.101 N
0.750 0.132 0.426 N
0.250 0.606 0.899 N
0.250 0.182 0.822 N
```

Values from the calculation:
The final energy is -96.27 eV for the cell shown. Its symmetry is P2_1/m.



Record 6
DFT (PBE) results for a relaxed Sr3Ce2ZrN6 crystal.

Geometry as POSCAR:
```
Sr3Ce2ZrN6
1.0
-0.207 -3.025 -5.383
5.292 0.313 3.172
-3.120 -4.137 3.620
Sr Ce Zr N
3 2 1 6
Direct
0.164 0.836 0.500 Sr
0.836 0.164 0.500 Sr
0.500 0.500 0.500 Sr
0.333 0.667 0.000 Ce
0.667 0.333 0.000 Ce
0.000 0.000 0.000 Zr
0.932 0.612 0.795 N
0.748 0.748 0.204 N
0.068 0.388 0.205 N
0.612 0.932 0.795 N
0.252 0.252 0.796 N
0.388 0.068 0.205 N
```

Values from the calculation:
The final energy is -90.11 eV for the cell shown. Its symmetry is C2/m.



Record 7
DFT (PBE) results for a relaxed Sr4Ce3ZrN8 crystal.

Geometry as POSCAR:
```
Sr4Ce3ZrN8
1.0
-4.073 5.422 2.352
-4.608 -1.060 -5.536
1.584 -5.461 4.380
Sr Ce Zr N
4 3 1 8
Direct
0.500 0.000 0.000 Sr
0.500 0.000 0.500 Sr
0.000 0.000 0.000 Sr
0.000 0.000 0.500 Sr
0.500 0.500 0.000 Ce
0.500 0.500 0.500 Ce
0.000 0.500 0.500 Ce
0.000 0.500 0.000 Zr
0.229 0.705 0.976 N
0.229 0.705 0.458 N
0.265 0.295 0.530 N
0.746 0.705 0.976 N
0.254 0.295 0.024 N
0.735 0.705 0.470 N
0.771 0.295 0.542 N
0.771 0.295 0.024 N
```

Values from the calculation:
The final energy is -119.06 eV for the cell shown. Its symmetry is R-3m.



Record 8
DFT (PBE) results for a relaxed Ce3TaN4 crystal.

Geometry as POSCAR:
```
Ce3TaN4
1.0
3.363 0.000 0.514
1.643 2.935 0.514
-0.053 -0.031 11.621
N Ce Ta
4 3 1
Direct
0.634 0.634 0.097 N
0.878 0.878 0.365 N
0.366 0.366 0.903 N
0.122 0.122 0.635 N
0.745 0.745 0.764 Ce
0.500 0.500 0.500 Ce
0.255 0.255 0.236 Ce
0.000 0.000 0.000 Ta
```

Values from the calculation:
The final energy is -74.02 eV for the cell shown. Its symmetry is R-3m.



Record 9
DFT (PBE) results for a relaxed CeTaN3 crystal.

Geometry as POSCAR:
```
CeTaN3
1.0
7.086 0.185 0.000
-3.372 6.482 0.000
0.000 0.000 6.463
Ce Ta N
4 4 12
Direct
0.466 0.886 0.235 Ce
0.534 0.114 0.765 Ce
0.034 0.114 0.735 Ce
0.966 0.886 0.265 Ce
0.597 0.684 0.641 Ta
0.403 0.316 0.359 Ta
0.903 0.316 0.141 Ta
0.097 0.684 0.859 Ta
0.794 0.009 0.052 N
0.206 0.991 0.948 N
0.706 0.991 0.552 N
0.294 0.009 0.448 N
0.390 0.742 0.817 N
0.610 0.258 0.183 N
0.110 0.258 0.317 N
0.890 0.742 0.683 N
0.059 0.632 0.162 N
0.941 0.368 0.838 N
0.441 0.368 0.662 N
0.559 0.632 0.338 N
```

Values from the calculation:
The final energy is -194.86 eV for the cell shown. Its symmetry is P2_1/c.



Record 10
DFT (PBE) results for a relaxed CeTaN crystal.

Geometry as POSCAR:
```
CeTaN
1.0
5.705 0.000 0.000
0.000 3.197 0.000
0.000 -1.598 2.769
N Ce Ta
1 1 1
Direct
0.038 0.000 0.000 N
0.738 0.667 0.333 Ce
0.225 0.333 0.667 Ta
```

Values from the calculation:
The value obtained for the energy relative to the lowest polymorph listed for this composition is 0 meV per atom. Its symmetry is P3m1.



Record 11
DFT (PBE) results for a relaxed CeTaN crystal.

Geometry as POSCAR:
```
CeTaN
1.0
2.969 0.000 0.000
0.000 2.969 0.000
-1.485 -1.485 6.113
Ta Ce N
1 1 1
Direct
0.274 0.274 0.548 Ta
0.979 0.979 0.957 Ce
0.747 0.747 0.495 N
```

Values from the calculation:
The value obtained for the energy relative to the lowest polymorph listed for this composition is 226 meV per atom. Its symmetry is I4mm.



Record 12
DFT (PBE) results for a relaxed Ce2TaN6 crystal.

Geometry as POSCAR:
```
Ce2TaN6
1.0
5.136 0.000 0.000
0.000 5.136 0.000
0.000 0.000 10.580
Ce Ta N
4 2 12
Direct
0.000 0.000 0.327 Ce
0.500 0.500 0.827 Ce
0.500 0.500 0.173 Ce
0.000 0.000 0.673 Ce
0.000 0.000 0.000 Ta
0.500 0.500 0.500 Ta
0.314 0.314 0.351 N
0.686 0.686 0.351 N
0.186 0.814 0.851 N
0.814 0.186 0.851 N
0.186 0.814 0.149 N
0.814 0.186 0.149 N
0.314 0.314 0.649 N
0.686 0.686 0.649 N
0.286 0.286 0.000 N
0.714 0.714 0.000 N
0.214 0.786 0.500 N
0.786 0.214 0.500 N
```

Values from the calculation:
The final energy is -149.73 eV for the cell shown. Its symmetry is P4_2/mnm.



Record 13
DFT (PBE) results for a relaxed Ce5TaN6 crystal.

Geometry as POSCAR:
```
Ce5TaN6
1.0
-2.834 5.081 -1.521
-5.183 -1.346 -2.764
-5.043 -0.666 3.211
Ce Ta N
5 1 6
Direct
0.500 0.168 0.664 Ce
0.000 0.334 0.332 Ce
0.500 0.500 0.000 Ce
0.000 0.666 0.668 Ce
0.500 0.832 0.336 Ce
0.000 0.000 0.000 Ta
0.774 0.075 0.303 N
0.226 0.622 0.303 N
0.233 0.226 0.000 N
0.767 0.774 0.000 N
0.774 0.378 0.697 N
0.226 0.925 0.697 N
```

Values from the calculation:
The final energy is -109.00 eV for the cell shown. Its symmetry is C2/m.



Record 14
DFT (PBE) results for a relaxed CeTaN2 crystal.

Geometry as POSCAR:
```
CeTaN2
1.0
-1.426 -2.337 -1.516
0.331 -2.947 1.001
-5.235 -1.100 3.389
Ce Ta N
1 1 2
Direct
0.671 0.671 0.987 Ce
0.498 0.498 0.506 Ta
0.096 0.096 0.713 N
0.236 0.236 0.293 N
```

Values from the calculation:
The final energy is -39.23 eV for the cell shown. Its symmetry is R3m.



Record 15
DFT (PBE) results for a relaxed CeTaN crystal.

Geometry as POSCAR:
```
CeTaN
1.0
3.663 0.000 0.000
0.000 3.663 0.000
-1.832 -1.832 8.298
N Ce Ta
2 2 2
Direct
0.088 0.088 0.177 N
0.912 0.912 0.823 N
0.343 0.343 0.687 Ce
0.657 0.657 0.313 Ce
0.500 0.000 0.000 Ta
0.000 0.500 0.000 Ta
```

Values from the calculation:
The value obtained for the energy relative to the lowest polymorph listed for this composition is 524 meV per atom. Its symmetry is I4/mmm.



Record 16
DFT (PBE) results for a relaxed CeTa2N3 crystal.

Geometry as POSCAR:
```
CeTa2N3
1.0
3.270 0.000 0.000
0.000 4.272 0.001
0.000 -0.002 10.940
Ce Ta N
2 4 6
Direct
0.250 0.750 0.250 Ce
0.750 0.250 0.750 Ce
0.250 0.750 0.939 Ta
0.750 0.250 0.061 Ta
0.750 0.250 0.439 Ta
0.250 0.750 0.561 Ta
0.750 0.250 0.250 N
0.250 0.750 0.750 N
0.750 0.750 0.072 N
0.250 0.250 0.928 N
0.250 0.250 0.572 N
0.750 0.750 0.428 N
```

Values from the calculation:
The final energy is -124.85 eV for the cell shown. Its symmetry is Immm.



Record 17
DFT (PBE) results for a relaxed Ce5TaN8 crystal.

Geometry as POSCAR:
```
Ce5TaN8
1.0
6.029 0.000 -2.035
-3.026 5.163 -2.164
0.023 0.000 6.363
Ce Ta N
5 1 8
Direct
0.015 0.393 0.133 Ce
0.867 0.882 0.260 Ce
0.740 0.607 0.622 Ce
0.500 0.000 0.500 Ce
0.378 0.118 0.985 Ce
0.250 0.500 0.750 Ta
0.136 0.725 0.956 N
0.044 0.179 0.769 N
0.735 0.245 0.368 N
0.632 0.367 0.877 N
0.510 0.633 0.265 N
0.590 0.821 0.864 N
0.231 0.275 0.410 N
0.123 0.755 0.490 N
```

Values from the calculation:
The final energy is -125.12 eV for the cell shown. Its symmetry is I-4.



Record 18
DFT (PBE) results for a relaxed CeTa2N crystal.

Geometry as POSCAR:
```
CeTa2N
1.0
-1.172 2.845 0.421
-1.658 1.346 -2.255
-7.881 -1.922 2.508
N Ce Ta
1 1 2
Direct
0.500 0.500 0.500 N
0.000 0.000 0.000 Ce
0.118 0.118 0.646 Ta
0.882 0.882 0.354 Ta
```

Values from the calculation:
The final energy is -38.52 eV for the cell shown. Its symmetry is R-3m.



Record 19
DFT (PBE) results for a relaxed Ce6TaN8 crystal.

Geometry as POSCAR:
```
Ce6TaN8
1.0
0.780 -6.097 2.005
6.240 -1.668 0.296
2.140 -0.285 6.094
Ce Ta N
6 1 8
Direct
0.063 0.481 0.707 Ce
0.293 0.937 0.519 Ce
0.519 0.293 0.937 Ce
0.481 0.707 0.063 Ce
0.707 0.063 0.481 Ce
0.937 0.519 0.293 Ce
0.000 0.000 0.000 Ta
0.168 0.673 0.903 N
0.097 0.832 0.327 N
0.327 0.097 0.832 N
0.682 0.682 0.682 N
0.318 0.318 0.318 N
0.673 0.903 0.168 N
0.903 0.168 0.673 N
0.832 0.327 0.097 N
```

Values from the calculation:
The final energy is -133.09 eV for the cell shown. Its symmetry is R-3.



Record 20
DFT (PBE) results for a relaxed CeTaN2 crystal.

Geometry as POSCAR:
```
CeTaN2
1.0
-1.222 -2.525 0.639
0.905 -1.073 -2.511
4.956 -1.757 2.538
N Ce Ta
2 1 1
Direct
0.000 0.000 0.785 N
0.000 0.000 0.215 N
0.500 0.500 0.500 Ce
0.500 0.500 0.000 Ta
```

Values from the calculation:
The final energy is -36.60 eV for the cell shown. Its symmetry is P4/mmm.



Record 21
DFT (PBE) results for a relaxed Ce3TaN6 crystal.

Geometry as POSCAR:
```
Ce3TaN6
1.0
5.666 0.000 0.000
0.000 7.416 -0.003
0.000 -1.658 7.228
Ce Ta N
6 2 12
Direct
0.472 0.911 0.699 Ce
0.972 0.699 0.911 Ce
0.439 0.395 0.605 Ce
0.939 0.605 0.395 Ce
0.972 0.089 0.301 Ce
0.472 0.301 0.089 Ce
0.006 0.193 0.807 Ta
0.506 0.807 0.193 Ta
0.214 0.669 0.648 N
0.714 0.648 0.669 N
0.179 0.420 0.891 N
0.679 0.891 0.420 N
0.160 0.045 0.955 N
0.652 0.214 0.786 N
0.152 0.786 0.214 N
0.660 0.955 0.045 N
0.179 0.109 0.580 N
0.679 0.580 0.109 N
0.214 0.352 0.331 N
0.714 0.331 0.352 N
```

Values from the calculation:
The final energy is -182.78 eV for the cell shown. Its symmetry is Cmc2_1.